# 1
LaPm2AlSi2: relaxed, PBE-GGA.

The formation energy from raw total energies comes out at -0.013 eV per atom. The total DFT energy (no corrections) comes out at -4.85 eV/atom.

abc: 8.7243 8.7243 8.7243
angles: 148.32 148.32 45.41
Last column: nearest neighbours and their distance in Å.
Sites, in units of the cell vectors:
La 0.0000 0.0000 0.0000  4 Al 3.37
Pm 0.2500 0.7500 0.5000  4 Si 2.94
Pm 0.7500 0.2500 0.5000  4 Si 2.94
Al 0.5000 0.5000 0.0000  2 Si 2.30
Si 0.3571 0.3571 0.0000  1 Al 2.30
Si 0.6429 0.6429 0.0000  1 Al 2.30

***

# 2
LiZr2AlTe: relaxed, PBE-GGA.

The formation energy from raw total energies comes out at 0.646 eV per atom. The total DFT energy (no corrections) comes out at -4.53 eV/atom.

abc: 5.0831 5.0831 5.4351
angles: 90.00 90.00 90.00
Last column: nearest neighbours and their distance in Å.
Sites, in units of the cell vectors:
Li 0.0000 0.0000 0.0000  4 Te 3.59, 8 Zr 3.72
Zr 0.0000 0.5000 0.5000  2 Al 2.54
Zr 0.5000 0.0000 0.5000  2 Al 2.54
Al 0.5000 0.5000 0.5000  4 Zr 2.54, 2 Te 2.72
Te 0.5000 0.5000 0.0000  2 Al 2.72